TbSm12Er6 | PBE | relaxed

```
19
Lattice="6.013 3.472 5.061 -6.013 3.472 5.061 0.000 -6.943 5.061" Properties=species:S:1:pos:R:3 pbc="T T T"
Tb 0.000 0.000 0.000
Sm -1.084 -1.773 2.907
Sm -0.994 1.825 2.907
Sm -1.454 -1.564 6.321
Sm 2.078 -0.052 2.907
Sm -2.082 0.477 8.861
Sm -0.627 2.041 6.321
Sm 0.627 -2.041 8.861
Sm 2.082 -0.477 6.321
Sm -2.078 0.052 12.275
Sm 1.454 1.564 8.861
Sm 0.994 -1.825 12.275
Sm 1.084 1.773 12.275
Er -3.619 0.973 5.353
Er 0.966 -3.621 5.353
Er -2.652 -2.647 9.829
Er 2.652 2.647 5.353
Er -0.966 3.621 9.829
Er 3.619 -0.973 9.829
```

Calculated values
energy above the lowest structure with this stoichiometry = 0.000 eV/atom
electronic total energy = -4.52 eV per atom
total magnetization = 0.000 μB per atom
crystal system = trigonal


YCoSCl2 | PBE | relaxed

```
5
Lattice="4.455 0.000 0.000 0.000 4.455 0.000 0.000 0.000 4.722" Properties=species:S:1:pos:R:3 pbc="T T T"
Y 0.000 0.000 0.000
Co 2.228 2.228 2.361
S 2.228 2.228 0.000
Cl 0.000 2.228 2.361
Cl 2.228 0.000 2.361
```

Calculated values
energy above the lowest structure with this stoichiometry = 0.000 eV/atom
formation energy (no corrections) = -0.78 eV per atom
electronic total energy = -5.06 eV per atom
total magnetization = 0.099 μB per atom
crystal system = tetragonal


AcCu4Ag8 | PBE | relaxed

```
13
Lattice="-4.695 4.695 2.644 4.695 -4.695 2.644 4.695 4.695 -2.644" Properties=species:S:1:pos:R:3 pbc="T T T"
Ac 0.000 0.000 0.000
Cu 2.347 2.347 -1.322
Cu 2.347 -2.347 1.322
Cu -2.347 2.347 1.322
Cu 2.347 2.347 1.322
Ag 3.288 0.000 0.000
Ag 6.102 0.000 0.000
Ag 4.695 2.590 0.000
Ag 0.000 3.288 0.000
Ag 2.590 4.695 0.000
Ag 2.105 0.000 2.644
Ag 0.000 6.102 0.000
Ag 0.000 2.105 2.644
```

Calculated values
electronic total energy = -3.38 eV per atom
total magnetization = 0.000 μB per atom
crystal system = tetragonal